# Y2BePt

A geometry-optimized Y2BePt structure (GGA-PBE, Alexandria via LeMat-Bulk).

Cell and atoms, written as POSCAR:
```
Y2BePt
1.0
4.013 0.024 -0.026
1.987 3.486 -0.026
2.041 1.194 6.838
Y Be Pt
2 1 1
direct
0.002 0.002 0.994
0.498 0.498 0.506
0.250 0.250 0.250
0.750 0.750 0.750
```

Properties
The calculation puts the energy at -6.00 eV/atom. The calculation puts the energy of formation at -329 meV per atom. The total moment comes out at 0.0 μB per cell. As for the density of states at the Fermi level: 2.81 states/eV/f.u. Its space group is R-3m (166).